VASP calculation (PBE) on an optimized crystal structure of Tm4ZnCu2.

Cell: 7.0258 7.0543 7.2456 Å, 87.32 70.43 71.80°
Closest atoms and distances in Å follow each position.
Space group P1 (No. 1)
Asymmetric unit:
Tm (0.0000, 0.0000, 0.0000)  3 Cu 2.96-3.25, 2 Zn 3.03-3.05
Tm (0.0099, 0.0816, 0.4763)  4 Cu 2.71-2.89
Tm (0.1515, 0.4677, 0.9606)  3 Cu 2.77-3.09, 1 Zn 3.01
Tm (0.4274, 0.7065, 0.5526)  2 Cu 2.77-2.82, 1 Zn 2.96
Tm (0.4470, 0.2361, 0.2625)  4 Cu 2.70-2.93
Tm (0.5614, 0.9641, 0.8471)  3 Cu 2.82-2.98, 2 Zn 2.93-3.13
Tm (0.6927, 0.4406, 0.8795)  2 Cu 2.81-3.09, 2 Zn 2.94-3.04
Tm (0.9830, 0.5952, 0.4730)  2 Cu 2.83-3.03, 1 Zn 3.01
Zn (0.3217, 0.7260, 0.1670)  1 Zn 2.72, 3 Tm 2.94-3.03
Zn (0.7064, 0.7457, 0.1537)  2 Cu 2.51-2.65, 1 Zn 2.72
Cu (0.2396, 0.1850, 0.6660)  1 Cu 2.52, 2 Tm 2.71-2.77
Cu (0.5601, 0.3007, 0.6017)  3 Cu 2.52-2.60, 2 Tm 2.77-2.81
Cu (0.6846, 0.9577, 0.4342)  1 Zn 2.51, 1 Cu 2.52, 2 Tm 2.70-2.80
Cu (0.7991, 0.3747, 0.2636)  1 Cu 2.60, 1 Zn 2.65, 1 Tm 2.86

Values from the calculation:
N(E_F) = 6.43 states/eV/f.u.
DFT formation energy = -0.1588 eV per atom
polymorph energy (0 for the lowest one) = 21 meV per atom
raw total energy = -56.93 eV per cell